Record 1
A plane-wave DFT calculation with GGA-PBE was carried out for a geometry-optimized Co3Re4 structure.

Cell and atoms, written as POSCAR:
```
Co3Re4
1.0
-1.576 1.312 -4.185
-2.979 -0.568 3.539
0.581 4.628 1.232
Co Re
3 4
Cartesian
-1.489 -0.284 1.769 Co
-2.278 0.372 -0.323 Co
-0.788 0.656 -2.093 Co
0.146 1.167 0.311 Re
0.434 3.461 0.921 Re
-1.753 2.999 -0.995 Re
-2.221 2.373 1.580 Re
```

Output
Relative energy among the computed polymorphs, meV per atom: 0.0
Formation energy from the elements, eV/atom: 0.074
Total DFT energy (no corrections), eV/atom: -10.084

=====

Record 2
A plane-wave DFT calculation with GGA-PBE was carried out for a geometry-optimized Ba3SmAg2O6 structure.

Cell and atoms, written as POSCAR:
```
Ba3SmAg2O6
1.0
6.387 0.000 0.000
-3.194 5.531 0.000
0.000 0.000 6.897
Ba Sm Ag O
3 1 2 6
Cartesian
0.000 3.688 4.213 Ba
3.194 1.844 2.684 Ba
0.000 0.000 0.000 Ba
0.000 0.000 3.448 Sm
3.194 1.844 5.977 Ag
0.000 3.688 0.920 Ag
1.607 4.615 2.089 O
0.000 1.832 2.089 O
-1.607 4.615 2.089 O
3.194 3.699 4.807 O
1.587 0.916 4.807 O
4.800 0.916 4.807 O
```

Output
Formation energy (no corrections), meV/atom: -1786
Total DFT energy (no corrections), eV/atom: -5.614

=====

Record 3
A plane-wave DFT calculation with GGA-PBE was carried out for a geometry-optimized Cs2TlIO6 structure.

Cell and atoms, written as POSCAR:
```
Cs2TlIO6
1.0
-3.223 -2.061 -5.474
3.409 -2.733 -5.052
-0.580 -6.530 -1.274
Cs Tl I O
2 1 1 6
Cartesian
-0.296 -8.493 -8.850 Cs
-0.099 -2.831 -2.950 Cs
-0.197 -5.662 -5.900 Tl
0.000 0.000 0.000 I
1.614 -7.817 -6.155 O
1.961 -3.909 -5.392 O
-0.426 -6.182 -3.131 O
0.032 -5.142 -8.669 O
-2.008 -3.507 -5.645 O
-2.355 -7.415 -6.408 O
```

Output
Formation energy (no corrections), meV/atom: -730
Total DFT energy (no corrections), eV/atom: -4.267

=====

Record 4
A plane-wave DFT calculation with GGA-PBE was carried out for a geometry-optimized La4CuPt3 structure.

Cell and atoms, written as POSCAR:
```
La4CuPt3
1.0
3.992 0.000 0.000
0.000 4.595 0.000
0.000 0.000 11.155
Pt Cu La
3 1 4
Cartesian
0.000 2.297 6.619 Pt
0.000 0.000 4.527 Pt
1.996 0.000 10.285 Pt
1.996 2.297 0.854 Cu
1.996 2.297 4.113 La
0.000 2.297 9.613 La
0.000 0.000 1.504 La
1.996 0.000 7.103 La
```

Output
Formation energy from the elements, eV/atom: -0.952
Total DFT energy (no corrections), eV/atom: -6.193

=====

Record 5
A plane-wave DFT calculation with GGA-PBE was carried out for a geometry-optimized Pr3CuRh3 structure.

Cell and atoms, written as POSCAR:
```
Pr3CuRh3
1.0
4.201 0.000 0.000
-2.100 5.210 0.000
0.000 0.000 14.162
Pr Cu Rh
6 2 6
Cartesian
0.000 2.084 12.726 Pr
2.100 3.125 1.435 Pr
0.000 2.084 8.516 Pr
2.100 3.125 5.646 Pr
0.000 4.993 10.621 Pr
2.100 0.217 3.540 Pr
2.100 0.000 0.000 Cu
2.100 0.000 7.081 Cu
2.100 4.313 12.918 Rh
0.000 0.896 1.244 Rh
2.100 4.313 8.325 Rh
0.000 0.896 5.837 Rh
2.100 2.691 10.621 Rh
0.000 2.518 3.540 Rh
```

Output
Formation energy from the elements, eV/atom: -0.558
Total DFT energy (no corrections), eV/atom: -6.343

=====

Record 6
A plane-wave DFT calculation with GGA-PBE was carried out for a geometry-optimized Ce2BRh4 structure.

Cell and atoms, written as POSCAR:
```
Ce2BRh4
1.0
-2.525 2.182 -1.223
-4.233 -2.309 4.621
2.982 5.149 3.032
Ce B Rh
2 1 4
Cartesian
0.228 3.666 0.905 Ce
-3.379 -0.063 1.699 Ce
0.000 0.000 0.000 B
-2.309 3.468 5.792 Rh
1.591 3.711 3.339 Rh
-1.467 1.555 0.638 Rh
-2.841 -0.871 4.314 Rh
```

Output
Formation energy from the elements, eV/atom: -0.161
Total DFT energy (no corrections), eV/atom: -7.012

=====

Record 7
A plane-wave DFT calculation with GGA-PBE was carried out for a geometry-optimized SrZrTe2 structure.

Cell and atoms, written as POSCAR:
```
SrZrTe2
1.0
-0.234 -3.911 2.053
-0.705 -1.995 -3.885
6.114 -0.747 -0.726
Sr Te Zr
1 2 1
Cartesian
4.879 -3.607 -1.551 Sr
5.349 -0.653 -0.636 Te
1.823 -3.233 -1.188 Te
2.293 -0.280 -0.272 Zr
```

Output
Relative energy among the computed polymorphs, meV per atom: 155.1
Formation energy (no corrections), meV/atom: -920
Total DFT energy (no corrections), eV/atom: -5.048

=====

Record 8
A plane-wave DFT calculation with GGA-PBE was carried out for a geometry-optimized In2GaSe structure.

Cell and atoms, written as POSCAR:
```
In2GaSe
1.0
-3.966 -0.914 3.255
-2.534 3.985 2.204
-4.878 1.113 -1.459
Ga Se In
1 1 2
Cartesian
0.000 0.000 0.000 Ga
-5.689 2.092 2.001 Se
-2.845 1.046 1.000 In
-8.534 3.138 3.001 In
```

Output
Relative energy among the computed polymorphs, meV per atom: 176.3
Formation energy (no corrections), meV/atom: 27
Total DFT energy (no corrections), eV/atom: -2.970

=====

Record 9
A plane-wave DFT calculation with GGA-PBE was carried out for a geometry-optimized K2Tl2Pd structure.

Cell and atoms, written as POSCAR:
```
K2Tl2Pd
1.0
-6.511 3.047 -2.066
4.561 -2.273 -5.475
-2.394 -6.774 2.794
K Tl Pd
4 4 2
Cartesian
-4.191 -0.087 -4.194 K
-0.153 -5.913 -0.553 K
0.121 -2.158 -5.522 K
-4.465 -3.842 0.775 K
-3.276 -3.670 -4.913 Tl
-3.368 -5.446 -2.442 Tl
-0.976 -0.554 -2.306 Tl
-1.069 -2.331 0.166 Tl
-5.305 2.467 -2.438 Pd
3.355 -1.693 -5.104 Pd
```

Output
Relative energy among the computed polymorphs, meV per atom: 68.6
Formation energy from the elements, eV/atom: -0.063
Total DFT energy (no corrections), eV/atom: -2.488

=====

Record 10
A plane-wave DFT calculation with GGA-PBE was carried out for a geometry-optimized K2Cd3F8 structure.

Cell and atoms, written as POSCAR:
```
K2Cd3F8
1.0
5.947 0.000 0.070
0.000 7.055 0.000
-2.312 -3.527 5.898
K Cd F
2 3 8
Cartesian
0.724 0.000 3.333 K
2.911 3.527 2.636 K
2.974 0.000 0.035 Cd
0.000 1.830 0.000 Cd
0.000 5.224 0.000 Cd
5.174 3.527 1.311 F
-1.539 0.000 4.657 F
4.987 0.000 1.193 F
-1.352 3.527 4.775 F
1.785 2.006 4.711 F
1.785 -2.006 4.711 F
1.851 5.533 1.257 F
1.851 1.522 1.257 F
```

Output
Relative energy among the computed polymorphs, meV per atom: 0.0
Formation energy (no corrections), meV/atom: -2395
Total DFT energy (no corrections), eV/atom: -3.926

=====

Record 11
A plane-wave DFT calculation with GGA-PBE was carried out for a geometry-optimized KNaHf2Hg structure.

Cell and atoms, written as POSCAR:
```
KNaHf2Hg
1.0
5.362 0.000 0.000
0.000 5.362 0.000
0.000 0.000 6.387
Na K Hf Hg
1 1 2 1
Cartesian
2.681 2.681 3.193 Na
0.000 0.000 3.193 K
0.000 2.681 0.000 Hf
2.681 0.000 0.000 Hf
0.000 0.000 0.000 Hg
```

Output
Formation energy from the elements, eV/atom: 1.018
Total DFT energy (no corrections), eV/atom: -3.507

=====

Record 12
A plane-wave DFT calculation with GGA-PBE was carried out for a geometry-optimized Y4InAu5 structure.

Cell and atoms, written as POSCAR:
```
Y4InAu5
1.0
-2.014 -2.993 0.059
0.521 -0.421 -3.545
14.467 -9.670 3.275
Y In Au
4 1 5
Cartesian
2.774 -1.854 0.628 Y
5.746 -3.841 1.301 Y
8.721 -5.829 1.974 Y
11.693 -7.816 2.647 Y
0.000 0.000 0.000 In
0.711 -2.681 -1.413 Au
3.548 -4.577 -0.771 Au
6.487 -6.542 -0.105 Au
9.426 -8.507 0.560 Au
12.263 -10.403 1.202 Au
```

Output
Formation energy from the elements, eV/atom: -0.760
Total DFT energy (no corrections), eV/atom: -5.258